DFT (PBE) results for an optimized crystal structure of Ta2Zn2FeCoIr2.

CIF file:
```
data_Ta2Zn2FeCoIr2
_symmetry_space_group_name_H-M 'P -4 m 2'
_symmetry_Int_Tables_number 115
_cell_length_a 4.3146
_cell_length_b 4.3146
_cell_length_c 6.1061
_cell_angle_alpha 90.00
_cell_angle_beta 90.00
_cell_angle_gamma 90.00
loop_
_symmetry_equiv_pos_as_xyz
'x,y,z'
'y,-x,-z'
'-x,-y,z'
'-y,x,-z'
'-x,y,z'
'-y,-x,-z'
'x,-y,z'
'y,x,-z'
loop_
_atom_site_label
_atom_site_fract_x
_atom_site_fract_y
_atom_site_fract_z
Ta1 0.0000 0.5000 0.2482
Zn1 0.0000 0.5000 0.7499
Fe1 0.0000 0.0000 0.0000
Co1 0.5000 0.5000 0.5000
Ir1 0.0000 0.0000 0.5000
Ir2 0.5000 0.5000 0.0000
```

Results
Its formation energy is -366.2 meV/atom. The crystal system is tetragonal. Its calculated total energy is -7.786 eV/atom.

***

DFT (PBE) results for an optimized crystal structure of ZrFeP.

CIF file:
```
data_ZrFeP
_symmetry_space_group_name_H-M 'P -6 2 m'
_symmetry_Int_Tables_number 189
_symmetry_space_group_name_Hall 'P -6 -2'
_cell_length_a 6.5060
_cell_length_b 6.5060
_cell_length_c 3.5318
_cell_angle_alpha 90.00
_cell_angle_beta 90.00
_cell_angle_gamma 120.00
loop_
_atom_site_label
_atom_site_fract_x
_atom_site_fract_y
_atom_site_fract_z
Zr1 0.0000 0.6091 0.0000
Fe1 0.0000 0.0000 0.0000
Fe2 0.3333 0.6667 0.5000
P1 0.0000 0.2741 0.5000
```

Results
The crystal system is hexagonal. Its calculated total energy is -8.136 eV/atom.

***

DFT (PBE) results for an optimized crystal structure of Nb2InW.

CIF file:
```
data_Nb2InW
_symmetry_space_group_name_H-M 'F -4 3 m'
_symmetry_Int_Tables_number 216
_symmetry_space_group_name_Hall 'F -4 2 3'
_cell_length_a 6.6318
_cell_length_b 6.6318
_cell_length_c 6.6318
_cell_angle_alpha 90.00
_cell_angle_beta 90.00
_cell_angle_gamma 90.00
loop_
_atom_site_label
_atom_site_fract_x
_atom_site_fract_y
_atom_site_fract_z
Nb1 0.0000 0.0000 0.0000
Nb2 0.2500 0.2500 0.2500
In1 0.0000 0.0000 0.5000
W1 0.2500 0.2500 0.7500
```

Results
The crystal system is cubic. Its calculated total energy is -8.657 eV/atom.

***

DFT (PBE) results for an optimized crystal structure of Nd3Dy3Te2Os.

CIF file:
```
data_Nd3Dy3Te2Os
_symmetry_space_group_name_H-M 'P -6 2 m'
_symmetry_Int_Tables_number 189
_symmetry_space_group_name_Hall 'P -6 -2'
_cell_length_a 8.4642
_cell_length_b 8.4642
_cell_length_c 4.1012
_cell_angle_alpha 90.00
_cell_angle_beta 90.00
_cell_angle_gamma 120.00
loop_
_atom_site_label
_atom_site_fract_x
_atom_site_fract_y
_atom_site_fract_z
Nd1 0.0000 0.3987 0.0000
Dy1 0.0000 0.7658 0.5000
Te1 0.3333 0.6667 0.5000
Os1 0.0000 0.0000 0.0000
```

Results
The crystal system is hexagonal. Its calculated total energy is -5.820 eV/atom.